Entry 1:
First-principles (PBE-GGA) data for an optimized crystal structure of ErZnCrC, as listed in Alexandria.

a b c (Å): 3.353 3.353 10.546
angles (deg): 90.00 90.00 90.00
Positions (direct):
Er (0.750, 0.750, 0.236)
Er (0.250, 0.250, 0.764)
Zn (0.250, 0.750, 0.500)
Zn (0.750, 0.250, 0.500)
Cr (0.750, 0.250, 0.000)
Cr (0.250, 0.750, 0.000)
C (0.750, 0.750, 0.874)
C (0.250, 0.250, 0.126)

Output
Magnetization in μB per cell: 0.00
Density of states at the Fermi level in states/eV/f.u.: 2.23
E_form in meV per atom: -124
Uncorrected energy in eV/cell: -50.36

Entry 2:
First-principles (PBE-GGA) data for an optimized crystal structure of LuZnPb2, as listed in Alexandria.

a b c (Å): 4.410 4.751 4.751
angles (deg): 90.00 90.00 90.00
Positions (direct):
Pb (0.000, 0.000, 0.500)
Pb (0.000, 0.500, 0.000)
Zn (0.500, 0.000, 0.000)
Lu (0.500, 0.500, 0.500)

Output
Magnetization in μB per cell: 0.00
Distance to the lowest polymorph of the same formula in meV/atom: 0
Density of states at the Fermi level in states/eV/f.u.: 2.06
E_form in meV per atom: -169
Uncorrected energy in eV/cell: -13.89

Entry 3:
First-principles (PBE-GGA) data for an optimized crystal structure of K3Cd2Ag9, as listed in Alexandria.

a b c (Å): 4.783 9.329 9.329
angles (deg): 73.70 75.15 75.15
Positions (direct):
K (0.000, 0.000, 0.000)
K (0.720, 0.280, 0.280)
K (0.280, 0.720, 0.720)
Cd (0.500, 0.326, 0.674)
Cd (0.500, 0.674, 0.326)
Ag (0.000, 0.500, 0.500)
Ag (0.695, 0.021, 0.588)
Ag (0.305, 0.979, 0.412)
Ag (0.695, 0.588, 0.021)
Ag (0.305, 0.412, 0.979)
Ag (0.895, 0.822, 0.388)
Ag (0.105, 0.178, 0.612)
Ag (0.895, 0.388, 0.822)
Ag (0.105, 0.612, 0.178)

Output
Magnetization in μB per cell: 0.00
Density of states at the Fermi level in states/eV/f.u.: 5.83
E_form in meV per atom: 11
Uncorrected energy in eV/cell: -30.63